Entry 1:
Density functional theory data (GGA-PBE) for an optimized crystal structure of LaScSn.

Unit cell a=4.0269 b=4.0269 c=5.8973 alpha=109.96 beta=109.96 gamma=90.00
Last column: nearest neighbours and their distance in Å.
Fractional coordinates of all 3 atoms:
Sn1 0.3044 0.3044 0.6089  4 Sc 3.09, 5 La 3.31-3.40
Sc1 0.9204 0.9204 0.8408  1 La 3.05, 4 Sn 3.09
La1 0.6252 0.6252 0.2504  1 Sc 3.05, 5 Sn 3.31-3.40

Its space group is I4mm, No. 107. The calculation puts the total magnetization at 0.0 Bohr magnetons per cell. As for the formation energy: -381 meV per atom. The calculation puts the total energy at -16.4 eV for the cell shown. Its energy above the most stable polymorph in this dataset is 263 meV/atom.

***

Entry 2:
Density functional theory data (GGA-PBE) for an optimized crystal structure of La12ScSn3.

Unit cell a=5.0499 b=5.0499 c=20.2968 alpha=90.00 beta=90.00 gamma=90.00
Last column: nearest neighbours and their distance in Å.
Fractional coordinates of all 16 atoms:
La1 0.0000 0.5000 0.3768  4 Sn 3.55-3.56, 8 La 3.55-3.57
Sn1 0.0000 0.0000 0.7471  12 La 3.56-3.58
La2 0.5000 0.5000 0.5000  8 La 3.55, 4 Sn 3.57
La3 0.5000 0.0000 0.8719  8 La 3.57-3.62, 2 Sn 3.58, 2 Sc 3.62
La4 0.5000 0.0000 0.1281  8 La 3.57-3.62, 2 Sn 3.58, 2 Sc 3.62
La5 0.0000 0.5000 0.1281  8 La 3.57-3.62, 2 Sn 3.58, 2 Sc 3.62
La6 0.5000 0.0000 0.6232  8 La 3.55-3.57, 4 Sn 3.55-3.56
La7 0.0000 0.5000 0.6232  4 Sn 3.55-3.56, 8 La 3.55-3.57
La8 0.5000 0.5000 0.0000  4 Sc 3.57, 8 La 3.62
La9 0.5000 0.5000 0.7476  8 La 3.57, 4 Sn 3.57
Sc1 0.0000 0.0000 0.0000  12 La 3.57-3.62
La10 0.5000 0.0000 0.3768  4 Sn 3.55-3.56, 8 La 3.55-3.57
Sn2 0.0000 0.0000 0.5000  12 La 3.55-3.57
Sn3 0.0000 0.0000 0.2529  12 La 3.56-3.58
La11 0.5000 0.5000 0.2524  8 La 3.57, 4 Sn 3.57
La12 0.0000 0.5000 0.8719  8 La 3.57-3.62, 2 Sn 3.58, 2 Sc 3.62

Its space group is P4/mmm, No. 123. The calculation puts the total magnetization at 0.0 Bohr magnetons per cell. As for the formation energy: -346 meV per atom. The calculation puts the total energy at -83.0 eV for the cell shown.

***

Entry 3:
Density functional theory data (GGA-PBE) for an optimized crystal structure of La9ScSn2.

Unit cell a=5.0550 b=5.0550 c=15.2907 alpha=90.00 beta=90.00 gamma=90.00
Last column: nearest neighbours and their distance in Å.
Fractional coordinates of all 12 atoms:
La1 0.5000 0.0000 0.1701  8 La 3.57-3.63, 2 Sn 3.58, 2 Sc 3.63
La2 0.0000 0.5000 0.8299  8 La 3.57-3.63, 2 Sn 3.58, 2 Sc 3.63
Sn1 0.0000 0.0000 0.3359  12 La 3.56-3.58
La3 0.0000 0.5000 0.1701  8 La 3.57-3.63, 2 Sn 3.58, 2 Sc 3.63
Sc1 0.0000 0.0000 0.0000  12 La 3.57-3.63
La4 0.5000 0.0000 0.5000  4 Sn 3.56, 8 La 3.57
La5 0.5000 0.5000 0.6653  8 La 3.57, 4 Sn 3.57
La6 0.5000 0.5000 0.0000  4 Sc 3.57, 8 La 3.63
Sn2 0.0000 0.0000 0.6641  12 La 3.56-3.58
La7 0.5000 0.5000 0.3347  8 La 3.57, 4 Sn 3.57
La8 0.0000 0.5000 0.5000  4 Sn 3.56, 8 La 3.57
La9 0.5000 0.0000 0.8299  8 La 3.57-3.63, 2 Sn 3.58, 2 Sc 3.63

Its space group is P4/mmm, No. 123. The calculation puts the total magnetization at 0.0 Bohr magnetons per cell. As for the formation energy: -296 meV per atom. The calculation puts the total energy at -62.2 eV for the cell shown.